DFT (meta-GGA SCAN) results for MgBeInGa2 at its PBEsol-relaxed geometry.

Output
For the density of states at the Fermi level, the calculation gives 0.39 states/eV per atom. The calculation puts the total energy at -14.83 eV per atom.

Cell and atoms, written as CIF:
```
data_MgBeInGa2
_chemical_formula_sum 'Mg1 Be1 In1 Ga2'
_cell_length_a 4.426
_cell_length_b 4.426
_cell_length_c 4.966
_cell_angle_alpha 90.00
_cell_angle_beta 90.00
_cell_angle_gamma 90.00
_symmetry_space_group_name_H-M 'P 4/m m m'
_symmetry_Int_Tables_number 123
_symmetry_space_group_name_Hall '-P 4 2'
loop_
_atom_site_label
_atom_site_fract_x
_atom_site_fract_y
_atom_site_fract_z
Mg1 0.000 0.000 0.000
Be1 0.000 0.000 0.500
In1 0.500 0.500 0.000
Ga1 0.000 0.500 0.500
```